(1)
Compound: U3Br2
Source: the Open Quantum Materials Database
Functional: PBE
Structure: optimized geometry

Results
The value obtained for the total magnetization is 54.32 μB/cell. The calculated density comes out at 10.64 Mg/m³. The value obtained for the raw total energy is -6.99 eV/atom.

```
data_U3Br2
_cell_length_a 7.3180
_cell_length_b 7.3180
_cell_length_c 17.6506
_cell_angle_alpha 90.00
_cell_angle_beta 90.00
_cell_angle_gamma 120.00
_symmetry_space_group_name_H-M 'R -3 c'
_symmetry_Int_Tables_number 167
_symmetry_space_group_name_Hall '-R 3 2"c'
loop_
_atom_site_label
_atom_site_type_symbol
_atom_site_fract_x
_atom_site_fract_y
_atom_site_fract_z
_atom_site_occupancy
U1 U 0.0000 0.3355 0.2500 1
Br1 Br 0.0000 0.0000 0.1604 1
```



(2)
Compound: LiCuS
Source: the Open Quantum Materials Database
Functional: PBE
Structure: optimized geometry

Results
The calculated density comes out at 3.42 Mg/m³. The value obtained for the raw total energy is -3.99 eV/atom.

```
data_LiCuS
_cell_length_a 8.4924
_cell_length_b 8.5860
_cell_length_c 10.9308
_cell_angle_alpha 90.00
_cell_angle_beta 90.00
_cell_angle_gamma 90.00
_symmetry_space_group_name_H-M 'F d d d'
_symmetry_Int_Tables_number 70
loop_
_symmetry_equiv_pos_as_xyz
'x,y,z'
'-x,-y,-z'
'-x+1/4,-y+1/4,z'
'x+1/4,y+1/4,-z'
'x,-y+1/4,-z+1/4'
'-x,y+1/4,z+1/4'
'-x+1/4,y,-z+1/4'
'x+1/4,-y,z+1/4'
'x,y+1/2,z+1/2'
'-x,-y+1/2,-z+1/2'
'-x+1/4,-y+3/4,z+1/2'
'x+1/4,y+3/4,-z+1/2'
'x,-y+3/4,-z+3/4'
'-x,y+3/4,z+3/4'
'-x+1/4,y+1/2,-z+3/4'
'x+1/4,-y+1/2,z+3/4'
'x+1/2,y,z+1/2'
'-x+1/2,-y,-z+1/2'
'-x+3/4,-y+1/4,z+1/2'
'x+3/4,y+1/4,-z+1/2'
'x+1/2,-y+1/4,-z+3/4'
'-x+1/2,y+1/4,z+3/4'
'-x+3/4,y,-z+3/4'
'x+3/4,-y,z+3/4'
'x+1/2,y+1/2,z'
'-x+1/2,-y+1/2,-z'
'-x+3/4,-y+3/4,z'
'x+3/4,y+3/4,-z'
'x+1/2,-y+3/4,-z+1/4'
'-x+1/2,y+3/4,z+1/4'
'-x+3/4,y+1/2,-z+1/4'
'x+3/4,-y+1/2,z+1/4'
loop_
_atom_site_label
_atom_site_type_symbol
_atom_site_fract_x
_atom_site_fract_y
_atom_site_fract_z
_atom_site_occupancy
Li1 Li 0.1250 0.1250 0.2650 1
Cu1 Cu 0.0000 0.0000 0.5000 1
S1 S 0.1250 0.3491 0.1250 1
```



(3)
Compound: Mg2Ni2Mo3
Source: the Open Quantum Materials Database
Functional: PBE
Structure: optimized geometry

Results
The value obtained for the total magnetization is 0.68 μB/cell. The calculated density comes out at 7.19 Mg/m³. The value obtained for the raw total energy is -6.57 eV/atom.

```
data_Mg2Ni2Mo3
_cell_length_a 4.3286
_cell_length_b 4.3286
_cell_length_c 19.3649
_cell_angle_alpha 90.00
_cell_angle_beta 90.00
_cell_angle_gamma 120.00
_symmetry_space_group_name_H-M 'R 3 m'
_symmetry_Int_Tables_number 160
_symmetry_space_group_name_Hall 'R 3 -2"'
loop_
_atom_site_label
_atom_site_type_symbol
_atom_site_fract_x
_atom_site_fract_y
_atom_site_fract_z
_atom_site_occupancy
Mg1 Mg 0.0000 0.0000 0.0000 1
Mg2 Mg 0.0000 0.0000 0.4196 1
Ni1 Ni 0.0000 0.0000 0.1400 1
Ni2 Ni 0.0000 0.0000 0.7036 1
Mo1 Mo 0.0000 0.0000 0.2689 1
Mo2 Mo 0.0000 0.0000 0.5643 1
Mo3 Mo 0.0000 0.0000 0.8459 1
```



(4)
Compound: TaAgIr
Source: the Open Quantum Materials Database
Functional: PBE
Structure: optimized geometry

Results
The calculation puts the energy of formation at 0.39 eV per atom. The value obtained for the total magnetization is 0.01 μB/cell. The calculated density comes out at 13.66 Mg/m³. The value obtained for the raw total energy is -7.46 eV/atom.

```
data_TaAgIr
_cell_length_a 6.1617
_cell_length_b 6.1617
_cell_length_c 6.1617
_cell_angle_alpha 90.00
_cell_angle_beta 90.00
_cell_angle_gamma 90.00
_symmetry_space_group_name_H-M 'F -4 3 m'
_symmetry_Int_Tables_number 216
_symmetry_space_group_name_Hall 'F -4 2 3'
loop_
_atom_site_label
_atom_site_type_symbol
_atom_site_fract_x
_atom_site_fract_y
_atom_site_fract_z
_atom_site_occupancy
Ta1 Ta 0.0000 0.0000 0.0000 1
Ag1 Ag 0.2500 0.2500 0.7500 1
Ir1 Ir 0.2500 0.2500 0.2500 1
```